Computed, not measured: a geometry-optimized TaOsRu2 structure at the GGA-PBE level of DFT.

Properties
For the energy above the most stable polymorph in this dataset, the calculation gives 698.6 meV per atom. As for the space-group type: I-42d, No. 122.

Cell and atoms, written as POSCAR:
```
TaOsRu2
1.0
-1.925 1.925 8.903
1.925 -1.925 8.903
1.925 1.925 -8.903
Ta Os Ru
2 2 4
Cartesian
0.000 0.000 0.000
0.000 1.925 4.451
1.925 0.000 4.451
0.000 0.000 8.903
0.963 -0.904 6.677
1.021 0.963 2.226
0.963 2.829 -2.226
0.904 0.963 11.128
```



Computed, not measured: a geometry-optimized Ta2Os3Ru4 structure at the GGA-PBE level of DFT.

Properties
As for the space-group type: P-1, No. 2.

Cell and atoms, written as POSCAR:
```
Ta2Os3Ru4
1.0
5.109 0.000 0.000
-0.824 7.053 0.000
-0.524 -2.931 7.713
Ta Os Ru
4 6 8
Cartesian
0.195 2.066 0.310
0.984 -1.293 4.695
2.777 5.416 3.018
3.566 2.056 7.403
0.330 4.005 6.735
0.877 1.210 5.709
1.404 3.266 4.277
2.357 0.857 3.436
2.885 2.912 2.004
3.431 0.117 0.978
-0.199 1.353 2.904
-0.003 4.042 2.397
0.919 -0.538 1.649
1.602 4.690 0.451
2.160 -0.568 7.262
2.842 4.660 6.064
3.764 0.080 5.316
3.960 2.769 4.809
```



Computed, not measured: a geometry-optimized TaOsRu2 structure at the GGA-PBE level of DFT.

Properties
For the energy above the most stable polymorph in this dataset, the calculation gives 287.1 meV per atom. As for the space-group type: R-3m, No. 166.

Cell and atoms, written as POSCAR:
```
TaOsRu2
1.0
1.380 0.797 9.159
-1.380 0.797 9.159
0.000 -1.594 9.159
Ta Os Ru
1 1 2
Cartesian
0.000 0.000 0.000
0.000 0.000 13.739
0.000 0.000 6.764
0.000 0.000 20.713
```



Computed, not measured: a geometry-optimized TaOsRu4 structure at the GGA-PBE level of DFT.

Properties
For the energy above the most stable polymorph in this dataset, the calculation gives 441.7 meV per atom. As for the space-group type: Pmma, No. 51.

Cell and atoms, written as POSCAR:
```
TaOsRu4
1.0
5.903 0.000 0.000
0.000 5.974 0.000
0.000 0.000 5.902
Ta Os Ru
2 2 8
Cartesian
1.476 0.000 1.450
4.427 0.000 4.452
1.476 2.987 4.396
4.427 2.987 1.506
0.000 1.517 2.951
0.000 1.552 0.000
0.000 4.422 0.000
0.000 4.457 2.951
2.951 1.517 2.951
2.951 1.552 0.000
2.951 4.422 0.000
2.951 4.457 2.951
```



Computed, not measured: a geometry-optimized TaOsRu2 structure at the GGA-PBE level of DFT.

Properties
For the energy above the most stable polymorph in this dataset, the calculation gives 411.5 meV per atom. As for the space-group type: Fm-3m, No. 225.

Cell and atoms, written as POSCAR:
```
TaOsRu2
1.0
0.000 3.136 3.136
3.136 0.000 3.136
3.136 3.136 0.000
Ta Os Ru
1 1 2
Cartesian
0.000 0.000 0.000
3.136 3.136 3.136
1.568 1.568 1.568
4.703 4.703 4.703
```



Computed, not measured: a geometry-optimized TaOsRu2 structure at the GGA-PBE level of DFT.

Properties
For the energy above the most stable polymorph in this dataset, the calculation gives 0.0 meV per atom. As for the space-group type: P4/mmm, No. 123.

Cell and atoms, written as POSCAR:
```
TaOsRu2
1.0
3.919 0.000 0.000
0.000 3.919 0.000
0.000 0.000 3.899
Ta Os Ru
1 1 2
Cartesian
0.000 0.000 0.000
1.959 1.959 0.000
0.000 1.959 1.950
1.959 0.000 1.950
```



Number 1: magnetization 0.00 μB per formula unit, N(E_F) 9.494 states/eV/cell, formation enthalpy at 0 K 0.523 eV/atom. Number 2: magnetization 0.00 μB per formula unit, N(E_F) 16.498 states/eV/cell, formation enthalpy at 0 K 0.000 eV/atom. Number 3: magnetization 0.00 μB per formula unit, N(E_F) 3.665 states/eV/cell, formation enthalpy at 0 K 0.112 eV/atom. Number 4: magnetization 0.00 μB per formula unit, N(E_F) 20.310 states/eV/cell, formation enthalpy at 0 K 0.486 eV/atom. Number 5: magnetization 2.90 μB per formula unit, N(E_F) 5.228 states/eV/cell, formation enthalpy at 0 K 0.236 eV/atom. Number 6: magnetization 0.00 μB per formula unit, N(E_F) 5.528 states/eV/cell, formation enthalpy at 0 K -0.175 eV/atom.